(1)
# PBE-GGA MgTiIO2, relaxed
data_MgTiIO2
_space_group_name_H-M_alt 'P 4/m m m'
_space_group_IT_number 123
_space_group_name_Hall '-P 4 2'
_cell_length_a 3.946
_cell_length_b 3.946
_cell_length_c 5.789
_cell_angle_alpha 90.00
_cell_angle_beta 90.00
_cell_angle_gamma 90.00
loop_
_atom_site_label
_atom_site_type_symbol
_atom_site_fract_x
_atom_site_fract_y
_atom_site_fract_z
Mg1 Mg 0.000 0.000 0.000
Ti1 Ti 0.500 0.500 0.500
I1 I 0.500 0.500 0.000
O1 O 0.000 0.500 0.500
# Calculated volume = 18.03 Å³/atom
# Magnetic moment = 0.16 μB/cell
# Calculated density = 4.26 g/cm3
# Polymorph energy (0 for the lowest one) = 0.000 eV/atom

(2)
# PBE-GGA MgTl3I2O9, relaxed
data_MgTl3I2O9
_space_group_name_H-M_alt 'P -3 m 1'
_space_group_IT_number 164
_space_group_name_Hall '-P 3 2"'
_cell_length_a 5.8760
_cell_length_b 5.8760
_cell_length_c 7.1684
_cell_angle_alpha 90.00
_cell_angle_beta 90.00
_cell_angle_gamma 120.00
loop_
_atom_site_label
_atom_site_type_symbol
_atom_site_fract_x
_atom_site_fract_y
_atom_site_fract_z
Mg1 Mg 0.0000 0.0000 0.0000
Tl1 Tl 0.0000 0.0000 0.5000
Tl2 Tl 0.3333 0.6667 0.1730
I1 I 0.3333 0.6667 0.6813
O1 O 0.0000 0.5000 0.5000
O2 O 0.1776 0.3551 0.8265
# Calculated volume = 14.29 Å³/atom
# Magnetic moment = 0.00 μB/cell
# Calculated density = 8.02 g/cm3
# DFT total energy = -4.4104 eV per atom

(3)
# PBE-GGA MgTl2IO6, relaxed
data_MgTl2IO6
_space_group_name_H-M_alt 'P 1 21/c 1'
_space_group_IT_number 14
_space_group_name_Hall '-P 2ybc'
_cell_length_a 5.626
_cell_length_b 5.804
_cell_length_c 9.950
_cell_angle_alpha 90.00
_cell_angle_beta 123.72
_cell_angle_gamma 90.00
loop_
_atom_site_label
_atom_site_type_symbol
_atom_site_fract_x
_atom_site_fract_y
_atom_site_fract_z
Mg1 Mg 0.000 0.000 0.000
Tl1 Tl 0.229 0.047 0.746
I1 I 0.500 0.000 0.500
O1 O 0.138 0.199 0.443
O2 O 0.237 0.702 0.432
O3 O 0.368 0.057 0.251
# Calculated volume = 13.51 Å³/atom
# Magnetic moment = 0.00 μB/cell
# Calculated density = 8.06 g/cm3
# DFT total energy = -4.5603 eV per atom

magnetic moment of number 3 (MgTl2IO6)? 0.00 μB/cell